# MgTeF2 (PBE, optimized geometry)
# ΔE_f (raw): -1.0898 eV/atom
data_MgTeF2
_space_group_name_H-M_alt 'F m -3 m'
_space_group_IT_number 225
_space_group_name_Hall '-F 4 2 3'
_cell_length_a 6.482
_cell_length_b 6.482
_cell_length_c 6.482
_cell_angle_alpha 90.00
_cell_angle_beta 90.00
_cell_angle_gamma 90.00
loop_
_atom_site_label
_atom_site_type_symbol
_atom_site_fract_x
_atom_site_fract_y
_atom_site_fract_z
Mg1 Mg 0.000 0.000 0.000
Te1 Te 0.000 0.000 0.500
F1 F 0.250 0.250 0.250

=====

# MgTeF2 (PBE, optimized geometry)
# ΔE_f (raw): -2.4680 eV/atom
data_MgTeF2
_space_group_name_H-M_alt 'R -3 m'
_space_group_IT_number 166
_space_group_name_Hall '-R 3 2"'
_cell_length_a 3.1390
_cell_length_b 3.1390
_cell_length_c 29.3396
_cell_angle_alpha 90.00
_cell_angle_beta 90.00
_cell_angle_gamma 120.00
loop_
_atom_site_label
_atom_site_type_symbol
_atom_site_fract_x
_atom_site_fract_y
_atom_site_fract_z
Mg1 Mg 0.0000 0.0000 0.0000
Te1 Te 0.0000 0.0000 0.5000
F1 F 0.0000 0.0000 0.3650

=====

# MgTeF6 (PBE, optimized geometry)
# ΔE_f (raw): -2.6191 eV/atom
data_MgTeF6
_space_group_name_H-M_alt 'R -3'
_space_group_IT_number 148
_space_group_name_Hall '-R 3'
_cell_length_a 5.4404
_cell_length_b 5.4404
_cell_length_c 14.3340
_cell_angle_alpha 90.00
_cell_angle_beta 90.00
_cell_angle_gamma 120.00
loop_
_atom_site_label
_atom_site_type_symbol
_atom_site_fract_x
_atom_site_fract_y
_atom_site_fract_z
Mg1 Mg 0.0000 0.0000 0.0000
Te1 Te 0.0000 0.0000 0.5000
F1 F 0.0072 0.3995 0.7485